# 1
Material: Li3CuBi
Method: DFT, PBE
State: relaxed

Properties
- Crystal system: cubic
- Volume: 19.7 A^3/atom
- Total DFT energy (no corrections): -2.7579 eV/atom
- DFT formation energy: -0.0142 eV/atom
- Magnetic moment: 0.0 μB per formula unit

abc: 4.6195 4.6195 4.6195
angles: 90.00 90.00 90.00
Fractional positions:
Cu 0.0000 0.0000 0.0000
Li 0.0000 0.0000 0.5000
Li 0.5000 0.0000 0.0000
Li 0.0000 0.5000 0.0000
Bi 0.5000 0.5000 0.5000



# 2
Material: BaCa3Pd
Method: DFT, PBE
State: relaxed

Properties
- Crystal system: triclinic
- Volume: 38.7 A^3/atom
- Total DFT energy (no corrections): -2.9205 eV/atom
- DFT formation energy: -0.2964 eV/atom
- Magnetic moment: 0.0 μB per formula unit

abc: 7.0374 7.9759 8.1662
angles: 64.73 78.02 69.18
Fractional positions:
Ba 0.3290 0.2532 0.1531
Ba 0.3698 0.7639 0.7191
Pd 0.6501 0.4173 0.2159
Pd 0.0491 0.5988 0.6574
Ca 0.8873 0.2620 0.9201
Ca 0.8500 0.5077 0.4365
Ca 0.8115 0.7548 0.9528
Ca 0.8494 0.0078 0.4362
Ca 0.2886 0.7309 0.2385
Ca 0.4111 0.2856 0.6341



# 3
Material: LaYIn2
Method: DFT, PBE
State: relaxed

Properties
- Crystal system: orthorhombic
- Volume: 28.6 A^3/atom
- Total DFT energy (no corrections): -4.7012 eV/atom
- DFT formation energy: -0.4841 eV/atom
- Magnetic moment: 0.0 μB per formula unit

abc: 5.7173 5.7173 3.6004
angles: 90.00 90.00 103.65
Fractional positions:
La 0.5000 0.0000 0.5000
In 0.0000 0.0000 0.0000
In 0.5000 0.5000 0.0000
Y 0.0000 0.5000 0.5000



# 4
Material: Pm8Er2In
Method: DFT, PBE
State: relaxed

Properties
- Crystal system: monoclinic
- Volume: 32.3 A^3/atom
- Total DFT energy (no corrections): -4.6013 eV/atom
- DFT formation energy: -0.0678 eV/atom
- Magnetic moment: 0.0 μB per formula unit

abc: 5.0288 8.0568 9.4643
angles: 105.15 105.41 90.00
Fractional positions:
Pm 0.5906 0.4429 0.1811
Pm 0.1365 0.1793 0.2730
Pm 0.3207 0.0912 0.6414
Pm 0.9552 0.2725 0.9103
Pm 0.4094 0.5571 0.8189
Pm 0.0448 0.7275 0.0897
Pm 0.6793 0.9088 0.3586
Pm 0.8635 0.8207 0.7270
Er 0.7755 0.3667 0.5510
Er 0.2245 0.6333 0.4490
In 0.5000 0.0000 0.0000



# 5
Material: BaMoPb2
Method: DFT, PBE
State: relaxed

Properties
- Crystal system: tetragonal
- Volume: 40.7 A^3/atom
- Total DFT energy (no corrections): -4.5333 eV/atom
- DFT formation energy: 0.5093 eV/atom
- Magnetic moment: 1.4 μB per formula unit

abc: 6.0750 6.0750 9.8083
angles: 71.96 71.96 90.00
Fractional positions:
Mo 0.2500 0.7500 0.5000
Mo 0.5000 0.5000 0.0000
Pb 0.3110 0.6250 0.2500
Pb 0.3750 0.5610 0.7500
Pb 0.8750 0.6890 0.7500
Pb 0.4390 0.1250 0.2500
Ba 0.7500 0.2500 0.5000
Ba 0.0000 0.0000 0.0000



# 6
Material: PaTlSe3
Method: DFT, PBE
State: relaxed

Properties
- Crystal system: monoclinic
- Volume: 35.7 A^3/atom
- Total DFT energy (no corrections): -5.5508 eV/atom
- Uncorrected formation energy: -1.088 eV/atom
- Magnetic moment: 0.0 μB per formula unit

abc: 7.3607 10.0211 10.0211
angles: 77.41 83.92 83.92
Fractional positions:
Se 0.5991 0.0980 0.6012
Se 0.8180 0.7083 0.5928
Se 0.4009 0.9020 0.3988
Se 0.9009 0.3988 0.9020
Se 0.6820 0.4072 0.2917
Se 0.1820 0.2917 0.4072
Se 0.0991 0.6012 0.0980
Se 0.3584 0.2093 0.0766
Se 0.6416 0.7907 0.9234
Se 0.3180 0.5928 0.7083
Se 0.1416 0.9234 0.7907
Se 0.8584 0.0766 0.2093
Tl 0.7500 0.1047 0.8953
Tl 0.2500 0.8953 0.1047
Tl 0.2500 0.2767 0.7233
Tl 0.7500 0.7233 0.2767
Pa 0.9843 0.6709 0.8337
Pa 0.0157 0.3291 0.1663
Pa 0.4843 0.8337 0.6709
Pa 0.5157 0.1663 0.3291



# 7
Material: Tc2PtCl
Method: DFT, PBE
State: relaxed

Properties
- Crystal system: trigonal
- Volume: 14.9 A^3/atom
- Total DFT energy (no corrections): -6.8112 eV/atom
- Uncorrected formation energy: 0.344 eV/atom
- Magnetic moment: 0.0 μB per formula unit

abc: 8.6583 8.6583 8.6583
angles: 18.94 18.94 18.94
Fractional positions:
Pt 0.7500 0.7500 0.7500
Tc 0.9970 0.9970 0.9970
Tc 0.5030 0.5030 0.5030
Cl 0.2500 0.2500 0.2500



# 8
Material: TmTlIn
Method: DFT, PBE
State: relaxed

Properties
- Crystal system: monoclinic
- Volume: 26.1 A^3/atom
- Total DFT energy (no corrections): -3.3851 eV/atom
- DFT formation energy: -0.1931 eV/atom
- Magnetic moment: 0.0 μB per formula unit

abc: 5.1672 5.1455 6.7938
angles: 90.05 89.90 120.05
Fractional positions:
Tm 0.0000 0.5000 0.0000
Tm 0.0000 0.5000 0.5000
In 0.6672 0.8336 0.2496
In 0.3328 0.1664 0.7504
Tl 0.6677 0.8345 0.7495
Tl 0.3323 0.1655 0.2505